(1)
! TeMo2Br PBEsol optimized geometry; values from VASP
&SYSTEM
  ibrav = 0, nat = 4, ntyp = 3
/
ATOMIC_SPECIES
Te 127.60 Te.upf
Mo 95.94 Mo.upf
Br 79.90 Br.upf
CELL_PARAMETERS angstrom
0.0000 3.3355 3.3355
3.3355 0.0000 3.3355
3.3355 3.3355 0.0000
ATOMIC_POSITIONS angstrom
Te 0.0000 0.0000 0.0000
Mo 3.3355 3.3355 3.3355
Mo 5.0032 5.0032 5.0032
Br 1.6677 1.6677 1.6677
! Calculated volume   18.6 Å³ per atom
! Total magnetization   1.0 μB per formula unit
! SG   F-43m
! Raw total energy   -6.200 eV/atom

(2)
! Mn3SN PBEsol optimized geometry; values from VASP
&SYSTEM
  ibrav = 0, nat = 5, ntyp = 3
/
ATOMIC_SPECIES
Mn 54.94 Mn.upf
S 32.06 S.upf
N 14.01 N.upf
CELL_PARAMETERS angstrom
4.1745 0.0000 0.0000
0.0000 4.1745 0.0000
0.0000 0.0000 4.1745
ATOMIC_POSITIONS angstrom
Mn 0.0000 0.0000 2.0873
Mn 0.0000 2.0873 0.0000
Mn 2.0873 0.0000 0.0000
S 0.0000 0.0000 0.0000
N 2.0873 2.0873 2.0873
! Calculated volume   14.5 Å³ per atom
! Total magnetization   9.7 μB per formula unit
! SG   Pm-3m
! Raw total energy   -7.176 eV/atom

(3)
! FeCoRu PBEsol optimized geometry; values from VASP
&SYSTEM
  ibrav = 0, nat = 3, ntyp = 3
/
ATOMIC_SPECIES
Fe 55.84 Fe.upf
Co 58.93 Co.upf
Ru 101.07 Ru.upf
CELL_PARAMETERS angstrom
3.9561 0.0000 0.0000
-1.9781 3.4261 0.0000
0.0000 0.0000 2.4966
ATOMIC_POSITIONS angstrom
Fe 0.0000 0.0000 0.0000
Co 0.0000 2.2841 0.0000
Ru 1.9781 1.1420 1.2483
! DFT formation energy   138 meV/atom
! Calculated volume   11.3 Å³ per atom
! Total magnetization   2.0 μB per formula unit
! SG   P-6m2
! Raw total energy   -8.819 eV/atom

(4)
! CoAg2OsS PBEsol optimized geometry; values from VASP
&SYSTEM
  ibrav = 0, nat = 5, ntyp = 4
/
ATOMIC_SPECIES
Co 58.93 Co.upf
Ag 107.87 Ag.upf
Os 190.23 Os.upf
S 32.06 S.upf
CELL_PARAMETERS angstrom
4.5672 0.0000 0.0000
0.0000 4.5672 0.0000
0.0000 0.0000 4.2690
ATOMIC_POSITIONS angstrom
Co 0.0000 0.0000 0.0000
Ag 0.0000 2.2836 2.1345
Ag 2.2836 0.0000 2.1345
Os 2.2836 2.2836 0.0000
S 2.2836 2.2836 2.1345
! Calculated volume   17.8 Å³ per atom
! Total magnetization   2.0 μB per formula unit
! SG   P4/mmm
! Raw total energy   -4.978 eV/atom

(5)
! BaSr2Li2 PBEsol optimized geometry; values from VASP
&SYSTEM
  ibrav = 0, nat = 10, ntyp = 3
/
ATOMIC_SPECIES
Ba 137.33 Ba.upf
Sr 87.62 Sr.upf
Li 6.94 Li.upf
CELL_PARAMETERS angstrom
9.4759 0.0000 0.0000
0.0000 9.4759 0.0000
0.0000 0.0000 4.6092
ATOMIC_POSITIONS angstrom
Ba 0.0000 0.0000 0.0000
Ba 4.7379 4.7379 0.0000
Sr 1.6040 3.1340 2.3046
Sr 3.1340 7.8719 2.3046
Sr 6.3419 1.6040 2.3046
Sr 7.8719 6.3419 2.3046
Li 1.1158 5.8537 0.0000
Li 3.6222 1.1158 0.0000
Li 5.8537 8.3601 0.0000
Li 8.3601 3.6222 0.0000
! DFT formation energy   22 meV/atom
! Calculated volume   41.4 Å³ per atom
! Total magnetization   0.0 μB per formula unit
! SG   P4/mbm
! Raw total energy   -1.930 eV/atom

(6)
! K2MgFe PBEsol optimized geometry; values from VASP
&SYSTEM
  ibrav = 0, nat = 4, ntyp = 3
/
ATOMIC_SPECIES
K 39.10 K.upf
Mg 24.30 Mg.upf
Fe 55.84 Fe.upf
CELL_PARAMETERS angstrom
-2.3587 2.3587 5.5954
2.3587 -2.3587 5.5954
2.3587 2.3587 -5.5954
ATOMIC_POSITIONS angstrom
K 2.3587 0.0000 2.7977
K 0.0000 2.3587 2.7977
Mg 0.0000 0.0000 0.0000
Fe 0.0000 0.0000 5.5954
! DFT formation energy   957 meV/atom
! Calculated volume   31.1 Å³ per atom
! Total magnetization   2.7 μB per formula unit
! SG   I4/mmm
! Raw total energy   -2.280 eV/atom

(7)
! Ni3Mo PBEsol optimized geometry; values from VASP
&SYSTEM
  ibrav = 0, nat = 4, ntyp = 2
/
ATOMIC_SPECIES
Ni 58.69 Ni.upf
Mo 95.94 Mo.upf
CELL_PARAMETERS angstrom
2.5183 -3.6077 0.0000
2.5183 3.6077 0.0000
0.0000 0.0000 2.5539
ATOMIC_POSITIONS angstrom
Ni 0.0000 0.0000 0.0000
Ni 1.2591 1.8039 1.2769
Ni 1.2591 -1.8039 1.2769
Mo 2.5183 0.0000 0.0000
! DFT formation energy   62 meV/atom
! Calculated volume   11.6 Å³ per atom
! Total magnetization   0.0 μB per formula unit
! SG   Cmmm
! Raw total energy   -7.498 eV/atom

(8)
! CuPt2W PBEsol optimized geometry; values from VASP
&SYSTEM
  ibrav = 0, nat = 4, ntyp = 3
/
ATOMIC_SPECIES
Cu 63.55 Cu.upf
Pt 195.08 Pt.upf
W 183.84 W.upf
CELL_PARAMETERS angstrom
0.0000 3.0790 3.0790
3.0790 0.0000 3.0790
3.0790 3.0790 0.0000
ATOMIC_POSITIONS angstrom
Cu 0.0000 0.0000 0.0000
Pt 1.5395 1.5395 1.5395
Pt 4.6186 4.6186 4.6186
W 3.0790 3.0790 3.0790
! DFT formation energy   35 meV/atom
! Calculated volume   14.6 Å³ per atom
! Total magnetization   0.0 μB per formula unit
! SG   Fm-3m
! Raw total energy   -7.982 eV/atom

(9)
! Mn2InPt PBEsol optimized geometry; values from VASP
&SYSTEM
  ibrav = 0, nat = 4, ntyp = 3
/
ATOMIC_SPECIES
Mn 54.94 Mn.upf
In 114.82 In.upf
Pt 195.08 Pt.upf
CELL_PARAMETERS angstrom
-1.9579 1.9579 3.9886
1.9579 -1.9579 3.9886
1.9579 1.9579 -3.9886
ATOMIC_POSITIONS angstrom
Mn 0.0000 0.0000 0.0000
Mn 0.0000 1.9579 1.9943
In 1.9579 0.0000 1.9943
Pt 0.0000 0.0000 3.9886
! DFT formation energy   12 meV/atom
! Calculated volume   15.3 Å³ per atom
! Total magnetization   7.2 μB per formula unit
! SG   I-4m2
! Raw total energy   -7.355 eV/atom

(10)
! La3Tl PBEsol optimized geometry; values from VASP
&SYSTEM
  ibrav = 0, nat = 4, ntyp = 2
/
ATOMIC_SPECIES
La 138.91 La.upf
Tl 204.38 Tl.upf
CELL_PARAMETERS angstrom
4.0362 -4.1052 0.0000
4.0362 4.1052 0.0000
0.0000 0.0000 3.6880
ATOMIC_POSITIONS angstrom
La 0.0000 0.0000 0.0000
La 2.0181 2.0526 1.8440
La 2.0181 -2.0526 1.8440
Tl 4.0362 0.0000 0.0000
! DFT formation energy   -199 meV/atom
! Calculated volume   30.6 Å³ per atom
! Total magnetization   0.0 μB per formula unit
! SG   Cmmm
! Raw total energy   -4.866 eV/atom

(11)
! BiTeNO2 PBEsol optimized geometry; values from VASP
&SYSTEM
  ibrav = 0, nat = 5, ntyp = 4
/
ATOMIC_SPECIES
Bi 208.98 Bi.upf
Te 127.60 Te.upf
N 14.01 N.upf
O 16.00 O.upf
CELL_PARAMETERS angstrom
4.1884 0.0000 0.0000
0.0000 4.1884 0.0000
0.0000 0.0000 4.4038
ATOMIC_POSITIONS angstrom
Bi 0.0000 0.0000 0.0000
Te 2.0942 2.0942 2.2019
N 0.0000 0.0000 2.2019
O 0.0000 2.0942 0.0000
O 2.0942 0.0000 0.0000
! Calculated volume   15.5 Å³ per atom
! Total magnetization   0.0 μB per formula unit
! SG   P4/mmm
! Raw total energy   -4.968 eV/atom

(12)
! KCr2OsBr PBEsol optimized geometry; values from VASP
&SYSTEM
  ibrav = 0, nat = 5, ntyp = 4
/
ATOMIC_SPECIES
K 39.10 K.upf
Cr 52.00 Cr.upf
Os 190.23 Os.upf
Br 79.90 Br.upf
CELL_PARAMETERS angstrom
4.7451 0.0000 0.0000
0.0000 4.7451 0.0000
0.0000 0.0000 5.3720
ATOMIC_POSITIONS angstrom
K 0.0000 0.0000 0.0000
Cr 0.0000 2.3726 2.6860
Cr 2.3726 0.0000 2.6860
Os 2.3726 2.3726 0.0000
Br 0.0000 0.0000 2.6860
! Calculated volume   24.2 Å³ per atom
! Total magnetization   10.3 μB per formula unit
! SG   P4/mmm
! Raw total energy   -5.133 eV/atom

(13)
! RbCoSn3 PBEsol optimized geometry; values from VASP
&SYSTEM
  ibrav = 0, nat = 5, ntyp = 3
/
ATOMIC_SPECIES
Rb 85.47 Rb.upf
Co 58.93 Co.upf
Sn 118.71 Sn.upf
CELL_PARAMETERS angstrom
5.0164 0.0000 0.0000
0.0000 5.0164 0.0000
0.0000 0.0000 5.0164
ATOMIC_POSITIONS angstrom
Rb 0.0000 0.0000 0.0000
Co 2.5082 2.5082 2.5082
Sn 0.0000 2.5082 2.5082
Sn 2.5082 0.0000 2.5082
Sn 2.5082 2.5082 0.0000
! DFT formation energy   78 meV/atom
! Calculated volume   25.2 Å³ per atom
! Total magnetization   0.5 μB per formula unit
! SG   Pm-3m
! Raw total energy   -4.230 eV/atom

(14)
! NaCS2F PBEsol optimized geometry; values from VASP
&SYSTEM
  ibrav = 0, nat = 5, ntyp = 4
/
ATOMIC_SPECIES
Na 22.99 Na.upf
C 12.01 C.upf
S 32.06 S.upf
F 19.00 F.upf
CELL_PARAMETERS angstrom
5.0269 0.0000 0.0000
0.0000 5.0269 0.0000
0.0000 0.0000 4.4234
ATOMIC_POSITIONS angstrom
Na 0.0000 0.0000 0.0000
C 0.0000 0.0000 2.2117
S 0.0000 2.5135 0.0000
S 2.5135 0.0000 0.0000
F 2.5135 2.5135 2.2117
! Calculated volume   22.4 Å³ per atom
! Total magnetization   4.1 μB per formula unit
! SG   P4/mmm
! Raw total energy   -2.280 eV/atom

(15)
! ZnSiIr2 PBEsol optimized geometry; values from VASP
&SYSTEM
  ibrav = 0, nat = 4, ntyp = 3
/
ATOMIC_SPECIES
Zn 65.41 Zn.upf
Si 28.09 Si.upf
Ir 192.22 Ir.upf
CELL_PARAMETERS angstrom
-1.3997 2.3726 4.1834
1.3997 -2.3726 4.1834
1.3997 2.3726 -4.1834
ATOMIC_POSITIONS angstrom
Zn 0.0000 0.0000 0.0000
Si 0.0000 0.0000 4.1834
Ir 1.3997 0.0000 2.2857
Ir 0.0000 2.3726 1.8977
! Calculated volume   13.9 Å³ per atom
! Total magnetization   0.0 μB per formula unit
! SG   Immm
! Raw total energy   -6.954 eV/atom

(16)
! Sn2GeBAu PBEsol optimized geometry; values from VASP
&SYSTEM
  ibrav = 0, nat = 5, ntyp = 4
/
ATOMIC_SPECIES
Sn 118.71 Sn.upf
Ge 72.64 Ge.upf
B 10.81 B.upf
Au 196.97 Au.upf
CELL_PARAMETERS angstrom
5.5236 0.0000 0.0000
0.0000 5.5236 0.0000
0.0000 0.0000 3.6349
ATOMIC_POSITIONS angstrom
Sn 0.0000 2.7618 0.0000
Sn 2.7618 0.0000 0.0000
Ge 0.0000 0.0000 0.0000
B 0.0000 0.0000 1.8174
Au 2.7618 2.7618 1.8174
! DFT formation energy   819 meV/atom
! Calculated volume   22.2 Å³ per atom
! Total magnetization   0.0 μB per formula unit
! SG   P4/mmm
! Raw total energy   -4.060 eV/atom

(17)
! Ba2ICl2 PBEsol optimized geometry; values from VASP
&SYSTEM
  ibrav = 0, nat = 5, ntyp = 3
/
ATOMIC_SPECIES
Ba 137.33 Ba.upf
I 126.90 I.upf
Cl 35.45 Cl.upf
CELL_PARAMETERS angstrom
-2.5246 2.5246 7.5068
2.5246 -2.5246 7.5068
2.5246 2.5246 -7.5068
ATOMIC_POSITIONS angstrom
Ba 0.0000 0.0000 2.0257
Ba 0.0000 0.0000 12.9880
I 0.0000 0.0000 7.5068
Cl 2.5246 0.0000 3.7534
Cl 0.0000 2.5246 3.7534
! Calculated volume   38.3 Å³ per atom
! Total magnetization   0.9 μB per formula unit
! SG   I4/mmm
! Raw total energy   -3.914 eV/atom

(18)
! YBeSb2 PBEsol optimized geometry; values from VASP
&SYSTEM
  ibrav = 0, nat = 4, ntyp = 3
/
ATOMIC_SPECIES
Y 88.91 Y.upf
Be 9.01 Be.upf
Sb 121.76 Sb.upf
CELL_PARAMETERS angstrom
4.6148 0.0000 0.0000
0.0000 4.6148 0.0000
0.0000 0.0000 4.1034
ATOMIC_POSITIONS angstrom
Y 0.0000 0.0000 0.0000
Be 2.3074 2.3074 0.0000
Sb 0.0000 2.3074 2.0517
Sb 2.3074 0.0000 2.0517
! Calculated volume   21.8 Å³ per atom
! Total magnetization   0.0 μB per formula unit
! SG   P4/mmm
! Raw total energy   -5.190 eV/atom

(19)
! LaIn4Ni PBEsol optimized geometry; values from VASP
&SYSTEM
  ibrav = 0, nat = 12, ntyp = 3
/
ATOMIC_SPECIES
La 138.91 La.upf
In 114.82 In.upf
Ni 58.69 Ni.upf
CELL_PARAMETERS angstrom
2.2318 -8.3842 0.0000
2.2318 8.3842 0.0000
0.0000 0.0000 7.1407
ATOMIC_POSITIONS angstrom
La 2.2318 6.4069 5.3556
La 2.2318 -6.4069 1.7852
In 2.2318 7.1229 1.7852
In 2.2318 3.1664 3.9175
In 2.2318 3.1664 6.7936
In 2.2318 0.0000 0.0000
In 2.2318 0.0000 3.5704
In 2.2318 -3.1664 0.3471
In 2.2318 -3.1664 3.2232
In 2.2318 -7.1229 5.3556
Ni 2.2318 4.5960 1.7852
Ni 2.2318 -4.5960 5.3556
! DFT formation energy   -444 meV/atom
! Calculated volume   22.3 Å³ per atom
! Total magnetization   0.0 μB per formula unit
! SG   Cmcm
! Raw total energy   -4.350 eV/atom

(20)
! TaAl3Co PBEsol optimized geometry; values from VASP
&SYSTEM
  ibrav = 0, nat = 5, ntyp = 3
/
ATOMIC_SPECIES
Ta 180.95 Ta.upf
Al 26.98 Al.upf
Co 58.93 Co.upf
CELL_PARAMETERS angstrom
4.8923 0.0000 0.0000
0.0000 4.8923 0.0000
0.0000 0.0000 4.8923
ATOMIC_POSITIONS angstrom
Ta 0.0000 0.0000 0.0000
Al 0.0000 0.0000 2.4461
Al 0.0000 2.4461 0.0000
Al 2.4461 0.0000 0.0000
Co 2.4461 2.4461 2.4461
! DFT formation energy   1515 meV/atom
! Calculated volume   23.4 Å³ per atom
! Total magnetization   2.1 μB per formula unit
! SG   Pm-3m
! Raw total energy   -4.998 eV/atom

(21)
! CdTcPCl2 PBEsol optimized geometry; values from VASP
&SYSTEM
  ibrav = 0, nat = 5, ntyp = 4
/
ATOMIC_SPECIES
Cd 112.41 Cd.upf
Tc 98.00 Tc.upf
P 30.97 P.upf
Cl 35.45 Cl.upf
CELL_PARAMETERS angstrom
4.7850 0.0000 0.0000
0.0000 4.7850 0.0000
0.0000 0.0000 4.5793
ATOMIC_POSITIONS angstrom
Cd 0.0000 0.0000 0.0000
Tc 2.3925 2.3925 2.2896
P 2.3925 2.3925 0.0000
Cl 0.0000 2.3925 2.2896
Cl 2.3925 0.0000 2.2896
! Calculated volume   21.0 Å³ per atom
! Total magnetization   0.9 μB per formula unit
! SG   P4/mmm
! Raw total energy   -4.357 eV/atom

(22)
! Li2MnO2F PBEsol optimized geometry; values from VASP
&SYSTEM
  ibrav = 0, nat = 12, ntyp = 4
/
ATOMIC_SPECIES
Li 6.94 Li.upf
Mn 54.94 Mn.upf
O 16.00 O.upf
F 19.00 F.upf
CELL_PARAMETERS angstrom
2.5705 -4.2739 0.0000
2.5705 4.2739 0.0000
-1.9647 0.0000 4.7262
ATOMIC_POSITIONS angstrom
Li 0.0000 0.0000 0.0000
Li 1.5882 -0.0875 2.3631
Li 2.5705 -1.5979 0.0000
Li 1.5882 -3.0588 2.3631
Mn 1.5882 2.7520 2.3631
Mn 2.5705 1.0959 0.0000
O 1.0616 1.3472 1.1099
O -0.2675 -0.1725 3.5329
O 2.1147 1.3472 3.6162
O 3.4439 -0.1725 1.1933
F 0.8947 -1.5946 1.1924
F 2.2816 -1.5946 3.5337
! Calculated volume   8.7 Å³ per atom
! Total magnetization   4.0 μB per formula unit
! SG   C2
! Raw total energy   -6.470 eV/atom

(23)
! K2TeMo2P2O14 PBEsol optimized geometry; values from VASP
&SYSTEM
  ibrav = 0, nat = 84, ntyp = 5
/
ATOMIC_SPECIES
K 39.10 K.upf
Te 127.60 Te.upf
Mo 95.94 Mo.upf
P 30.97 P.upf
O 16.00 O.upf
CELL_PARAMETERS angstrom
12.5422 0.0000 0.0000
0.0000 8.6700 0.0000
0.0000 0.0000 11.0856
ATOMIC_POSITIONS angstrom
K 2.4815 0.2323 2.4627
K 2.4815 8.4377 8.0055
K 3.7896 4.1027 8.0055
K 3.7896 4.5673 2.4627
K 8.7526 4.1027 8.6229
K 8.7526 4.5673 3.0801
K 10.0607 0.2323 3.0801
K 10.0607 8.4377 8.6229
Te 0.0000 3.1864 8.3142
Te 0.0000 5.4836 2.7714
Te 6.2711 1.1486 2.7714
Te 6.2711 7.5215 8.3142
Mo 1.5185 2.0454 5.3298
Mo 1.5185 6.6246 10.8726
Mo 4.7526 2.2896 10.8726
Mo 4.7526 6.3804 5.3298
Mo 7.7896 2.2896 5.7559
Mo 7.7896 6.3804 0.2131
Mo 11.0237 2.0454 0.2131
Mo 11.0237 6.6246 5.7559
P 1.6251 3.0868 0.0965
P 1.6251 5.5832 5.6393
P 4.6460 1.2482 5.6393
P 4.6460 7.4218 0.0965
P 7.8962 1.2482 10.9891
P 7.8962 7.4218 5.4463
P 10.9172 3.0868 5.4463
P 10.9172 5.5832 10.9891
O 0.3946 2.3326 0.6587
O 0.3946 6.3374 6.2015
O 0.8919 1.8911 7.2699
O 0.8919 6.7790 1.7271
O 1.5513 0.3754 5.0152
O 1.5513 8.2946 10.5580
O 1.5796 4.1389 6.1592
O 1.5796 4.5311 0.6163
O 1.6524 3.0119 9.6351
O 1.6524 5.6581 4.0923
O 2.0627 2.7195 3.8496
O 2.0627 5.9505 9.3924
O 2.8895 2.3638 0.6373
O 2.8895 6.3063 6.1801
O 3.3816 1.9713 6.1801
O 3.3816 6.6988 0.6373
O 4.2084 1.6155 9.3924
O 4.2084 7.0546 3.8496
O 4.6187 1.3231 4.0923
O 4.6187 7.3470 9.6351
O 4.6915 0.1961 0.6163
O 4.6915 8.4739 6.1592
O 4.7198 3.9596 10.5580
O 4.7198 4.7104 5.0152
O 5.3792 2.4440 1.7271
O 5.3792 6.2261 7.2699
O 5.8765 2.0024 6.2015
O 5.8765 6.6676 0.6587
O 6.6657 2.0024 10.4269
O 6.6657 6.6676 4.8841
O 7.1630 2.4440 3.8157
O 7.1630 6.2261 9.3585
O 7.8224 3.9596 6.0704
O 7.8224 4.7104 0.5276
O 7.8507 0.1961 4.9265
O 7.8507 8.4739 10.4693
O 7.9235 1.3231 1.4505
O 7.9235 7.3470 6.9933
O 8.3338 1.6155 7.2360
O 8.3338 7.0546 1.6932
O 9.1607 1.9713 10.4483
O 9.1607 6.6988 4.9055
O 9.6527 2.3638 4.9055
O 9.6527 6.3063 10.4483
O 10.4795 2.7195 1.6932
O 10.4795 5.9505 7.2360
O 10.8898 3.0119 6.9933
O 10.8898 5.6581 1.4505
O 10.9626 4.1389 10.4693
O 10.9626 4.5311 4.9265
O 10.9909 0.3754 0.5276
O 10.9909 8.2946 6.0704
O 11.6503 1.8911 9.3585
O 11.6503 6.7790 3.8157
O 12.1476 2.3326 4.8841
O 12.1476 6.3374 10.4269
! Calculated volume   14.4 Å³ per atom
! Total magnetization   0.0 μB per formula unit
! SG   Pbcn
! Raw total energy   -7.465 eV/atom

(24)
! TiCrB3 PBEsol optimized geometry; values from VASP
&SYSTEM
  ibrav = 0, nat = 5, ntyp = 3
/
ATOMIC_SPECIES
Ti 47.87 Ti.upf
Cr 52.00 Cr.upf
B 10.81 B.upf
CELL_PARAMETERS angstrom
3.7320 0.0000 0.0000
0.0000 3.7320 0.0000
0.0000 0.0000 3.7320
ATOMIC_POSITIONS angstrom
Ti 0.0000 0.0000 0.0000
Cr 1.8660 1.8660 1.8660
B 0.0000 1.8660 1.8660
B 1.8660 0.0000 1.8660
B 1.8660 1.8660 0.0000
! DFT formation energy   471 meV/atom
! Calculated volume   10.4 Å³ per atom
! Total magnetization   0.0 μB per formula unit
! SG   Pm-3m
! Raw total energy   -7.452 eV/atom